[1]
Density functional theory data (PBE) for an optimized crystal structure of DyRuRh.

abc: 4.1313 6.8492 6.8492
angles: 120.00 90.00 90.00
Positions (direct):
Ru 0.5000 0.7617 0.0000
Ru 0.5000 0.2383 0.2383
Ru 0.5000 0.0000 0.7617
Dy 0.0000 0.4052 0.0000
Dy 0.0000 0.5948 0.5948
Dy 0.0000 0.0000 0.4052
Rh 0.5000 0.3333 0.6667
Rh 0.5000 0.6667 0.3333
Rh 0.0000 0.0000 0.0000

## Properties
The calculated volume is 18.649 A^3/atom. Its energy of formation is -7.9 kcal/mol of atoms.

[2]
Density functional theory data (PBE) for an optimized crystal structure of SmGd3H.

abc: 5.0515 5.0515 5.0515
angles: 90.00 90.00 90.00
Last column: magnetic moment on the atom in μB.
Positions (direct):
Gd 0.0000 0.5000 0.0000  7.08
Gd 0.5000 0.0000 0.0000  7.08
Gd 0.0000 0.0000 0.5000  7.08
H 0.0000 0.0000 0.0000  -0.02
Sm 0.5000 0.5000 0.5000  -0.16

## Properties
The calculated volume is 25.780 A^3/atom. The total energy is -51.129 eV per cell.

[3]
Density functional theory data (PBE) for an optimized crystal structure of Dy2NiH.

abc: 3.6264 3.6264 6.9833
angles: 74.95 74.95 60.00
Positions (direct):
Dy 0.2493 0.2493 0.2521
Dy 0.0842 0.0842 0.7474
H 0.4994 0.4994 0.5017
Ni 0.6671 0.6671 0.9988

## Properties
The calculated volume is 18.969 A^3/atom. For the energy above the most stable polymorph in this dataset, the calculation gives 103 meV per atom.

[4]
Density functional theory data (PBE) for an optimized crystal structure of FeTePd2.

abc: 3.7890 3.7890 9.7718
angles: 78.82 78.82 90.00
Positions (direct):
Te 0.7500 0.2500 0.5000
Te 0.0000 0.0000 0.0000
Pd 0.3750 0.3829 0.7500
Pd 0.8750 0.8671 0.7500
Pd 0.6171 0.1250 0.2500
Pd 0.1329 0.6250 0.2500
Fe 0.5000 0.5000 0.0000
Fe 0.2500 0.7500 0.5000

## Properties
The calculated volume is 16.864 A^3/atom. The value obtained for the uncorrected formation energy is 0.281 eV/atom.

[5]
Density functional theory data (PBE) for an optimized crystal structure of MnReWS2.

abc: 4.5385 5.1327 4.5385
angles: 90.00 90.00 90.00
Last column: magnetic moment on the atom in μB.
Positions (direct):
W 0.0000 0.0000 0.0000  -0.15
S 0.0000 0.0000 0.5000  0.06
S 0.5000 0.0000 0.0000  0.05
Mn 0.0000 0.5000 0.0000  3.64
Re 0.5000 0.5000 0.5000  3.19

## Properties
The calculated volume is 21.144 A^3/atom. The value obtained for the uncorrected formation energy is 1.477 eV/atom.

[6]
Density functional theory data (PBE) for an optimized crystal structure of Ac2AlIr2.

abc: 6.0282 6.0282 7.9247
angles: 78.71 78.71 59.65
Positions (direct):
Ir 0.2627 0.9977 0.4934
Ir 0.9977 0.2627 0.9934
Ir 0.0023 0.7373 0.0066
Ir 0.7373 0.0023 0.5066
Ac 0.4884 0.2149 0.1482
Ac 0.5116 0.7851 0.8518
Ac 0.7851 0.5116 0.3518
Ac 0.2149 0.4884 0.6482
Al 0.8954 0.1046 0.7500
Al 0.1046 0.8954 0.2500

## Properties
The calculated volume is 24.211 A^3/atom. Its energy of formation is -16.6 kcal/mol of atoms.

[7]
Density functional theory data (PBE) for an optimized crystal structure of VZnAs.

abc: 3.3144 4.1451 4.1451
angles: 120.00 90.00 90.00
Positions (direct):
As 0.1653 0.0000 0.0000
Zn 0.6671 0.6667 0.3333
V 0.1675 0.3333 0.6667

## Properties
The calculated volume is 16.439 A^3/atom. Its energy of formation is 4.7 kcal/mol of atoms.

[8]
Density functional theory data (PBE) for an optimized crystal structure of Pm5SmS8.

abc: 7.4107 7.4107 7.4107
angles: 108.32 111.80 108.32
Positions (direct):
S 0.6221 0.3927 0.8786
S 0.7705 0.2564 0.3779
S 0.1214 0.7436 0.5141
S 0.4859 0.6073 0.2295
S 0.2632 0.2440 0.3731
S 0.1292 0.7560 0.0193
S 0.6269 0.8901 0.8708
S 0.9807 0.1099 0.7368
Pm 0.8742 0.9009 0.2762
Pm 0.0267 0.4020 0.1258
Pm 0.3753 0.0991 0.9733
Pm 0.5000 0.0000 0.5000
Pm 0.7238 0.5980 0.6247
Sm 0.2500 0.5000 0.7500

## Properties
The calculated volume is 22.350 A^3/atom. The value obtained for the uncorrected formation energy is -2.027 eV/atom.

What did we get for N(E_F)? Answer: 7.94 5.16 2.53 16.21 4.84 4.45 3.25 5.80 states/eV/cell, in the order shown.